A plane-wave DFT calculation with meta-GGA SCAN was carried out for a crystal of Os3Rh relaxed with PBEsol.

The structure belongs to space group Pmmn (No. 59, origin choice 2); the cell edges are 4.306, 5.433 and 4.714 Å and the angles 90.00°, 90.00° and 90.00°. The distinct sites, in fractional coordinates, are Os at (0.250, 0.001, 0.168), Os at (0.250, 0.250, 0.668) and Rh at (0.250, 0.750, 0.664).

The value obtained for the total energy is -498.54 eV for the cell shown. The density of states at the Fermi level comes out at 5.72 states/eV/cell. As for the density: 20.29 g/cm³. The calculation puts the formation energy at 0.14 eV per formula unit.